1.
{"formula": "KCuPdBr2", "functional": "GGA-PBEsol", "state": "relaxed", "lattice": [[4.875, 0.000, 0.000], [0.000, 4.875, 0.000], [0.000, 0.000, 5.466]], "species": ["K", "Cu", "Pd", "Br", "Br"], "frac_coords": [[0.000, 0.000, 0.000], [0.000, 0.000, 0.500], [0.500, 0.500, 0.000], [0.000, 0.500, 0.500], [0.500, 0.000, 0.500]], "dos_ef_per_ev_cell": 3.8, "total_energy_ev_per_fu": -14.3}

2.
{"formula": "MgIn3", "functional": "GGA-PBEsol", "state": "relaxed", "lattice": [[3.309, 0.000, 0.000], [0.000, 4.513, 0.000], [0.000, 0.000, 6.451]], "species": ["Mg", "In", "In", "In"], "frac_coords": [[0.000, 0.000, 0.000], [0.000, 0.000, 0.500], [0.500, 0.500, 0.243], [0.500, 0.500, 0.757]], "dos_ef_per_ev_cell": 1.7, "total_energy_ev_per_fu": -10.9, "delta_e_f_ev_per_atom": -0.056}